# 1
BeNiF3: optimized geometry, GGA+U.

a b c (Å): 3.9696 3.9696 3.9696
angles (deg): 90.00 90.00 90.00
Space group Pm-3m (No. 221)
Unique sites:
Be: 0.0000 0.0000 0.0000 [1 per cell]
Ni: 0.5000 0.5000 0.5000 [1 per cell]
F: 0.0000 0.5000 0.5000 [3 per cell]

Values from the calculation:
M_tot ... 2.9 μB/f.u.
Volume ... 62.6 Å³/f.u.

# 2
BeNi2F: optimized geometry, GGA+U.

a b c (Å): 5.3805 5.3805 5.3805
angles (deg): 90.00 90.00 90.00
Space group Fm-3m (No. 225)
Unique sites:
Be: 0.0000 0.0000 0.0000 [4 per cell]
Ni: 0.2500 0.2500 0.2500 [8 per cell]
F: 0.0000 0.0000 0.5000 [4 per cell]

Values from the calculation:
M_tot ... 0.9 μB/f.u.
Volume ... 38.9 Å³/f.u.

# 3
BeNiF3: optimized geometry, GGA+U.

a b c (Å): 3.5497 3.5497 3.5497
angles (deg): 90.00 90.00 90.00
Space group Pm-3m (No. 221)
Unique sites:
Be: 0.0000 0.0000 0.0000 [1 per cell]
Ni: 0.5000 0.5000 0.5000 [1 per cell]
F: 0.0000 0.0000 0.5000 [3 per cell]

Values from the calculation:
M_tot ... 1.0 μB/f.u.
Volume ... 44.7 Å³/f.u.

# 4
BeNiF5: optimized geometry, GGA+U.

a b c (Å): 7.3248 7.1959 7.2444
angles (deg): 90.00 119.88 90.00
Space group C2/c (No. 15)
Unique sites:
Be: 0.0000 0.1280 0.2500 [4 per cell]
Ni: 0.2500 0.2500 0.0000 [4 per cell]
F: 0.0000 0.3333 0.7500 [4 per cell]
F: 0.1092 0.2588 0.1603 [8 per cell]
F: 0.1690 0.0051 0.4324 [8 per cell]

Values from the calculation:
M_tot ... 3.1 μB/f.u.
Volume ... 82.8 Å³/f.u.

# 5
BeNi2F2: optimized geometry, GGA+U.

a b c (Å): 5.7121 5.7121 3.8061
angles (deg): 90.00 90.00 90.00
Space group P4/mbm (No. 127)
Unique sites:
Be: 0.0000 0.0000 0.0000 [2 per cell]
Ni: 0.1580 0.3420 0.0000 [4 per cell]
F: 0.1741 0.3259 0.5000 [4 per cell]

Values from the calculation:
M_tot ... 1.0 μB/f.u.
Volume ... 62.1 Å³/f.u.

# 6
BeNi2F2: optimized geometry, GGA+U.

a b c (Å): 3.3509 3.3509 9.9009
angles (deg): 90.00 90.00 90.00
Space group I4/mmm (No. 139)
Unique sites:
Be: 0.0000 0.0000 0.0000 [2 per cell]
Ni: 0.0000 0.0000 0.3866 [4 per cell]
F: 0.0000 0.5000 0.2500 [4 per cell]

Values from the calculation:
M_tot ... 2.8 μB/f.u.
Volume ... 55.6 Å³/f.u.

# 7
BeNi2F: optimized geometry, GGA+U.

a b c (Å): 5.9730 5.9730 5.2529
angles (deg): 90.00 90.00 90.00
Space group I-42d (No. 122)
Unique sites:
Be: 0.0000 0.0000 0.0000 [4 per cell]
Ni: 0.2354 0.2500 0.6250 [8 per cell]
F: 0.0000 0.0000 0.5000 [4 per cell]

Values from the calculation:
M_tot ... 2.0 μB/f.u.
Volume ... 46.9 Å³/f.u.

# 8
BeNiF4: optimized geometry, GGA+U.

a b c (Å): 5.3051 7.9585 7.5563
angles (deg): 90.00 123.87 90.00
Space group P2_1/c (No. 14)
Unique sites:
Be: 0.1565 0.1808 0.3996 [4 per cell]
Ni: 0.3309 0.5628 0.6116 [4 per cell]
F: 0.0912 0.0865 0.1885 [4 per cell]
F: 0.1571 0.7399 0.1618 [4 per cell]
F: 0.3235 0.0618 0.5894 [4 per cell]
F: 0.3699 0.1524 0.9571 [4 per cell]

Values from the calculation:
M_tot ... 2.1 μB/f.u.
Volume ... 66.2 Å³/f.u.

# 9
BeNiOF2: optimized geometry, GGA+U.

a b c (Å): 4.5498 4.5498 3.3585
angles (deg): 90.00 90.00 90.00
Space group P4/mmm (No. 123)
Unique sites:
Be: 0.0000 0.0000 0.0000 [1 per cell]
Ni: 0.5000 0.5000 0.0000 [1 per cell]
O: 0.5000 0.5000 0.5000 [1 per cell]
F: 0.0000 0.5000 0.5000 [2 per cell]

Values from the calculation:
M_tot ... 2.8 μB/f.u.
Volume ... 69.5 Å³/f.u.

# 10
BeNiOF2: optimized geometry, GGA+U.

a b c (Å): 3.2027 3.2027 4.3336
angles (deg): 90.00 90.00 90.00
Space group P4/mmm (No. 123)
Unique sites:
Be: 0.0000 0.0000 0.0000 [1 per cell]
Ni: 0.5000 0.5000 0.5000 [1 per cell]
O: 0.0000 0.0000 0.5000 [1 per cell]
F: 0.0000 0.5000 0.0000 [2 per cell]

Values from the calculation:
M_tot ... 2.0 μB/f.u.
Volume ... 44.5 Å³/f.u.

# 11
BeNiO2F: optimized geometry, GGA+U.

a b c (Å): 3.5530 3.5530 3.3445
angles (deg): 90.00 90.00 90.00
Space group P4/mmm (No. 123)
Unique sites:
Be: 0.0000 0.0000 0.0000 [1 per cell]
Ni: 0.5000 0.5000 0.5000 [1 per cell]
O: 0.0000 0.5000 0.0000 [2 per cell]
F: 0.0000 0.0000 0.5000 [1 per cell]

Values from the calculation:
M_tot ... 3.0 μB/f.u.
Volume ... 42.2 Å³/f.u.

# 12
BeNiO2F: optimized geometry, GGA+U.

a b c (Å): 3.7252 3.7252 3.7053
angles (deg): 90.00 90.00 90.00
Space group P4/mmm (No. 123)
Unique sites:
Be: 0.0000 0.0000 0.0000 [1 per cell]
Ni: 0.5000 0.5000 0.5000 [1 per cell]
O: 0.0000 0.5000 0.5000 [2 per cell]
F: 0.5000 0.5000 0.0000 [1 per cell]

Values from the calculation:
M_tot ... 1.0 μB/f.u.
Volume ... 51.4 Å³/f.u.

# 13
BeNiOF2: optimized geometry, GGA+U.

a b c (Å): 3.7588 3.7588 4.0202
angles (deg): 90.00 90.00 90.00
Space group P4/mmm (No. 123)
Unique sites:
Be: 0.0000 0.0000 0.0000 [1 per cell]
Ni: 0.5000 0.5000 0.5000 [1 per cell]
O: 0.5000 0.5000 0.0000 [1 per cell]
F: 0.0000 0.5000 0.5000 [2 per cell]

Values from the calculation:
M_tot ... 1.9 μB/f.u.
Volume ... 56.8 Å³/f.u.

# 14
Rb2Be3Ni2F12: optimized geometry, GGA+U.

a b c (Å): 10.0910 10.0910 10.0910
angles (deg): 90.00 90.00 90.00
Space group P2_13 (No. 198)
Unique sites:
Rb: 0.0445 0.0445 0.0445 [4 per cell]
Rb: 0.1859 0.3141 0.6859 [4 per cell]
Be: 0.0219 0.2091 0.3761 [12 per cell]
Ni: 0.1015 0.8985 0.3985 [4 per cell]
Ni: 0.1649 0.6649 0.8351 [4 per cell]
F: 0.0068 0.5596 0.7666 [12 per cell]
F: 0.0101 0.0628 0.3291 [12 per cell]
F: 0.0452 0.8013 0.2301 [12 per cell]
F: 0.0981 0.8317 0.7484 [12 per cell]

Values from the calculation:
M_tot ... 4.1 μB/f.u.
Volume ... 256.9 Å³/f.u.

# 15
Rb2BeNi3F12: optimized geometry, GGA+U.

a b c (Å): 7.1606 7.1606 16.5637
angles (deg): 90.00 90.00 120.00
Space group R-3m (No. 166, hexagonal axes)
Unique sites:
Rb: 0.0000 0.0000 0.1324 [6 per cell]
Be: 0.0000 0.0000 0.5000 [3 per cell]
Ni: 0.0000 0.5000 0.0000 [9 per cell]
F: 0.0703 0.5352 0.3653 [18 per cell]
F: 0.0947 0.5473 0.1090 [18 per cell]

Values from the calculation:
M_tot ... 4.0 μB/f.u.
Volume ... 245.2 Å³/f.u.

# 16
Be2SiNiF: optimized geometry, GGA+U.

a b c (Å): 4.1665 4.1665 4.5260
angles (deg): 90.00 90.00 90.00
Space group P4/mmm (No. 123)
Unique sites:
Be: 0.0000 0.5000 0.0000 [2 per cell]
Si: 0.0000 0.0000 0.0000 [1 per cell]
Ni: 0.0000 0.0000 0.5000 [1 per cell]
F: 0.5000 0.5000 0.5000 [1 per cell]

Values from the calculation:
M_tot ... 1.0 μB/f.u.
Volume ... 78.6 Å³/f.u.

# 17
BeSiNi2F: optimized geometry, GGA+U.

a b c (Å): 3.9404 3.9404 4.3987
angles (deg): 90.00 90.00 90.00
Space group P4/mmm (No. 123)
Unique sites:
Be: 0.0000 0.0000 0.0000 [1 per cell]
Si: 0.5000 0.5000 0.0000 [1 per cell]
Ni: 0.0000 0.5000 0.5000 [2 per cell]
F: 0.5000 0.5000 0.5000 [1 per cell]

Values from the calculation:
M_tot ... 2.0 μB/f.u.
Volume ... 68.3 Å³/f.u.

# 18
Be2NiWF: optimized geometry, GGA+U.

a b c (Å): 4.6584 4.6584 4.8860
angles (deg): 90.00 90.00 90.00
Space group P4/mmm (No. 123)
Unique sites:
Be: 0.0000 0.5000 0.0000 [2 per cell]
Ni: 0.0000 0.0000 0.5000 [1 per cell]
W: 0.0000 0.0000 0.0000 [1 per cell]
F: 0.5000 0.5000 0.5000 [1 per cell]

Values from the calculation:
M_tot ... 2.4 μB/f.u.
Volume ... 106.0 Å³/f.u.

# 19
BeNiW2F: optimized geometry, GGA+U.

a b c (Å): 4.5391 4.5391 4.0327
angles (deg): 90.00 90.00 90.00
Space group P4/mmm (No. 123)
Unique sites:
Be: 0.0000 0.0000 0.0000 [1 per cell]
Ni: 0.0000 0.0000 0.5000 [1 per cell]
W: 0.0000 0.5000 0.0000 [2 per cell]
F: 0.5000 0.5000 0.5000 [1 per cell]

Values from the calculation:
M_tot ... 4.9 μB/f.u.
Volume ... 83.1 Å³/f.u.

no.,final energy (eV/atom),density (g/cm³)
1,-3.604,3.31
2,-2.132,6.20
3,-4.065,4.63
4,-4.571,3.26
5,-2.889,4.40
6,-2.870,4.91
7,-2.554,5.15
8,-4.942,3.60
9,-2.932,2.91
10,-4.817,4.55
11,-4.616,4.67
12,-4.075,3.83
13,-3.885,3.56
14,-5.014,3.51
15,-4.264,3.96
16,-3.184,2.62
17,-2.733,4.22
18,-2.102,4.38
19,-3.291,9.08